Entry from the Alexandria database: a relaxed structure of LaZnMo (PBE).

Cell and atoms, written as extended XYZ:
```
3
Lattice="-3.931 2.191 -1.067 -3.443 0.206 3.082 -1.037 4.018 2.044" Properties=species:S:1:pos:R:3 pbc="T T T"
Zn 0.000 0.000 0.000
Mo -6.308 4.812 3.044
La -4.205 3.208 2.029
```

Properties
Its total energy is -4.98 eV/atom. As for the symmetry: F-43m, No. 216. The value obtained for the formation energy from the elements is 0.698 eV/atom. As for the total magnetization: 0.98 μB per formula unit.